# TaO2 PBE-GGA relaxed
data_TaO2
_chemical_formula_sum 'Ta8 O16'
_space_group_name_H-M_alt 'C 2 2 21'
_space_group_IT_number 20
_space_group_name_Hall 'C 2c 2'
_cell_length_a 5.080
_cell_length_b 8.502
_cell_length_c 7.193
_cell_angle_alpha 90.00
_cell_angle_beta 90.00
_cell_angle_gamma 90.00
loop_
_atom_site_label
_atom_site_type_symbol
_atom_site_fract_x
_atom_site_fract_y
_atom_site_fract_z
_atom_site_occupancy
Ta1 Ta 0.216 0.189 0.123 1
O1 O 0.000 0.347 0.250 1
O2 O 0.110 0.000 0.000 1
O3 O 0.119 0.317 0.895 1
# total DFT energy (no corrections)	-0.3521	hartree per atom
# V	12.9	Å³ per atom